1.
## SrPuBr5 (PBE-GGA)

Data for an optimized crystal structure of SrPuBr5.

a b c (Å): 7.6487 7.6487 11.2400
angles (deg): 104.89 114.03 91.37
Site moments in Bohr magnetons follow the coordinates.
Element x y z (fractional)
Sr (0.6737, 0.9237, 0.2500)  0.00
Sr (0.3263, 0.0763, 0.7500)  0.00
Pu (0.0000, 0.0000, 0.0000)  5.09
Pu (0.0000, 0.5000, 0.5000)  5.09
Br (0.2452, 0.7842, 0.1429)  -0.04
Br (0.1689, 0.8096, 0.4622)  -0.03
Br (0.3587, 0.3977, 0.6429)  -0.04
Br (0.9731, 0.2231, 0.2500)  -0.03
Br (0.3475, 0.2067, 0.0378)  -0.03
Br (0.6525, 0.7933, 0.9622)  -0.03
Br (0.0269, 0.7769, 0.7500)  -0.03
Br (0.6413, 0.6023, 0.3571)  -0.04
Br (0.8311, 0.1904, 0.5378)  -0.03
Br (0.7548, 0.2158, 0.8571)  -0.04

The value obtained for the formation energy from raw total energies is -1710 meV per atom. Its symmetry is C2/c, No. 15.

2.
## SrPuBr4 (PBE-GGA)

Data for an optimized crystal structure of SrPuBr4.

a b c (Å): 8.4833 8.4833 8.4833
angles (deg): 107.11 107.11 114.30
Site moments in Bohr magnetons follow the coordinates.
Element x y z (fractional)
Sr (0.2493, 0.2493, 0.0000)  0.01
Sr (0.9993, 0.4993, 0.5000)  0.01
Pu (0.7526, 0.7526, 0.0000)  5.82
Pu (0.5026, 0.0026, 0.5000)  5.82
Br (0.2536, 0.9496, 0.6960)  -0.01
Br (0.7454, 0.4452, 0.6997)  -0.02
Br (0.6996, 0.5036, 0.1960)  -0.01
Br (0.1952, 0.9954, 0.1997)  -0.02
Br (0.3076, 0.5036, 0.8040)  -0.01
Br (0.7957, 0.9954, 0.8003)  -0.02
Br (0.7454, 0.0457, 0.3003)  -0.02
Br (0.2536, 0.5576, 0.3040)  -0.01

The value obtained for the formation energy from raw total energies is -1723 meV per atom. The energy above the most stable polymorph in this dataset is 18.3 meV per atom. Its symmetry is I4_1md, No. 109.

3.
## Sr2PuBr6 (PBE-GGA)

Data for an optimized crystal structure of Sr2PuBr6.

a b c (Å): 7.1493 7.1493 13.9376
angles (deg): 90.00 90.00 90.00
Site moments in Bohr magnetons follow the coordinates.
Element x y z (fractional)
Sr (0.0000, 0.0000, 0.3329)  -0.01
Sr (0.5000, 0.5000, 0.8329)  -0.01
Sr (0.5000, 0.5000, 0.1671)  -0.01
Sr (0.0000, 0.0000, 0.6671)  -0.01
Pu (0.0000, 0.0000, 0.0000)  -5.82
Pu (0.5000, 0.5000, 0.5000)  -5.82
Br (0.3045, 0.3045, 0.3356)  0.01
Br (0.6955, 0.6955, 0.3356)  0.01
Br (0.1955, 0.8045, 0.8356)  0.01
Br (0.8045, 0.1955, 0.8356)  0.01
Br (0.1955, 0.8045, 0.1644)  0.01
Br (0.8045, 0.1955, 0.1644)  0.01
Br (0.3045, 0.3045, 0.6644)  0.01
Br (0.6955, 0.6955, 0.6644)  0.01
Br (0.3006, 0.3006, 0.0000)  0.01
Br (0.6994, 0.6994, 0.0000)  0.01
Br (0.1994, 0.8006, 0.5000)  0.01
Br (0.8006, 0.1994, 0.5000)  0.01

The value obtained for the formation energy from raw total energies is -1847 meV per atom. The energy above the most stable polymorph in this dataset is 15.3 meV per atom. Its symmetry is P4_2/mnm, No. 136.

4.
## SrPuBr4 (PBE-GGA)

Data for an optimized crystal structure of SrPuBr4.

a b c (Å): 4.4646 9.6116 11.5966
angles (deg): 80.07 78.90 76.57
Site moments in Bohr magnetons follow the coordinates.
Element x y z (fractional)
Sr (0.7500, 0.7500, 0.2500)  0.02
Sr (0.2500, 0.2500, 0.7500)  0.02
Pu (0.5000, 0.5000, 0.0000)  5.77
Pu (0.0000, 0.0000, 0.5000)  5.77
Br (0.6839, 0.1966, 0.9356)  -0.01
Br (0.8161, 0.3034, 0.5644)  -0.01
Br (0.4395, 0.9428, 0.6782)  -0.03
Br (0.0605, 0.5572, 0.8218)  -0.03
Br (0.5605, 0.0572, 0.3218)  -0.03
Br (0.3161, 0.8034, 0.0644)  -0.01
Br (0.1839, 0.6966, 0.4356)  -0.01
Br (0.9395, 0.4428, 0.1782)  -0.03

The value obtained for the formation energy from raw total energies is -1741 meV per atom. The energy above the most stable polymorph in this dataset is 0.0 meV per atom. Its symmetry is C2/m, No. 12.

5.
## Sr2PuBr6 (PBE-GGA)

Data for an optimized crystal structure of Sr2PuBr6.

a b c (Å): 4.5134 7.9277 11.1829
angles (deg): 104.27 90.00 106.54
Site moments in Bohr magnetons follow the coordinates.
Element x y z (fractional)
Sr (0.6650, 0.3300, 0.8306)  -0.01
Sr (0.3350, 0.6700, 0.1694)  -0.01
Pu (0.0000, 0.0000, 0.5000)  -5.78
Br (0.3067, 0.6135, 0.8859)  0.00
Br (0.6932, 0.3865, 0.1141)  0.00
Br (0.9771, 0.9542, 0.2235)  0.01
Br (0.6370, 0.2740, 0.5472)  0.03
Br (0.0229, 0.0459, 0.7766)  0.01
Br (0.3630, 0.7260, 0.4528)  0.03

The value obtained for the formation energy from raw total energies is -1862 meV per atom. The energy above the most stable polymorph in this dataset is 0.0 meV per atom. Its symmetry is C2/m, No. 12.

6.
## SrPuTlBr6 (PBE-GGA)

Data for an optimized crystal structure of SrPuTlBr6.

a b c (Å): 7.8015 7.8015 14.0106
angles (deg): 90.00 90.00 120.00
Site moments in Bohr magnetons follow the coordinates.
Element x y z (fractional)
Sr (0.3333, 0.6667, 0.2500)  0.00
Sr (0.6667, 0.3333, 0.7500)  0.00
Pu (0.6667, 0.3333, 0.2500)  5.07
Pu (0.3333, 0.6667, 0.7500)  5.07
Tl (0.0000, 0.0000, 0.0000)  0.00
Tl (0.0000, 0.0000, 0.5000)  0.00
Br (0.6456, 0.6282, 0.1336)  -0.02
Br (0.9826, 0.3544, 0.1336)  -0.02
Br (0.3544, 0.9826, 0.6336)  -0.02
Br (0.0174, 0.6456, 0.8664)  -0.02
Br (0.3718, 0.3544, 0.3664)  -0.02
Br (0.9826, 0.6282, 0.3664)  -0.02
Br (0.6282, 0.9826, 0.8664)  -0.02
Br (0.6456, 0.0174, 0.3664)  -0.02
Br (0.0174, 0.3718, 0.6336)  -0.02
Br (0.3718, 0.0174, 0.1336)  -0.02
Br (0.6282, 0.6456, 0.6336)  -0.02
Br (0.3544, 0.3718, 0.8664)  -0.02

The value obtained for the formation energy from raw total energies is -1577 meV per atom. Its symmetry is P-31c, No. 163.

7.
## TbPuBr (PBE-GGA)

Data for an optimized crystal structure of TbPuBr.

a b c (Å): 3.6376 3.6376 7.5655
angles (deg): 90.00 90.00 120.00
Site moments in Bohr magnetons follow the coordinates.
Element x y z (fractional)
Tb (0.6667, 0.3333, 0.3569)  0.08
Br (0.3333, 0.6667, 0.6520)  0.00
Pu (0.0000, 0.0000, 0.9912)  5.69

The value obtained for the formation energy from raw total energies is -547 meV per atom. Its symmetry is P3m1, No. 156.

8.
## TbPuBr5 (PBE-GGA)

Data for an optimized crystal structure of TbPuBr5.

a b c (Å): 4.0750 8.5017 13.7393
angles (deg): 94.41 90.00 90.00
Site moments in Bohr magnetons follow the coordinates.
Element x y z (fractional)
Tb (0.2500, 0.4180, 0.3455)  0.15
Tb (0.7500, 0.5820, 0.6545)  0.15
Pu (0.7500, 0.0910, 0.1425)  5.58
Pu (0.2500, 0.9090, 0.8575)  5.58
Br (0.2500, 0.0767, 0.3085)  -0.03
Br (0.7500, 0.1499, 0.9286)  -0.04
Br (0.7500, 0.3222, 0.4809)  0.00
Br (0.2500, 0.3536, 0.1346)  -0.03
Br (0.2500, 0.3710, 0.7054)  0.00
Br (0.7500, 0.6290, 0.2946)  0.00
Br (0.7500, 0.6464, 0.8654)  -0.03
Br (0.2500, 0.6778, 0.5191)  0.00
Br (0.2500, 0.8501, 0.0714)  -0.04
Br (0.7500, 0.9233, 0.6915)  -0.03

The value obtained for the formation energy from raw total energies is -1677 meV per atom. Its symmetry is P2_1/m, No. 11.

9.
## TbPuBr2 (PBE-GGA)

Data for an optimized crystal structure of TbPuBr2.

a b c (Å): 3.7328 3.7328 10.3080
angles (deg): 79.57 79.57 60.00
Site moments in Bohr magnetons follow the coordinates.
Element x y z (fractional)
Tb (0.0000, 0.0000, 0.0000)  0.04
Br (0.0954, 0.0954, 0.7138)  -0.02
Br (0.9046, 0.9046, 0.2862)  -0.02
Pu (0.5000, 0.5000, 0.5000)  5.86

The value obtained for the formation energy from raw total energies is -864 meV per atom. Its symmetry is R-3m, No. 166.

10.
## Tb2PuBr (PBE-GGA)

Data for an optimized crystal structure of Tb2PuBr.

a b c (Å): 3.6021 3.6021 10.3353
angles (deg): 79.96 79.96 60.00
Site moments in Bohr magnetons follow the coordinates.
Element x y z (fractional)
Tb (0.7441, 0.7441, 0.7678)  0.06
Tb (0.2559, 0.2559, 0.2322)  0.06
Br (0.0000, 0.0000, 0.0000)  0.00
Pu (0.5000, 0.5000, 0.5000)  5.46

The value obtained for the formation energy from raw total energies is -457 meV per atom. Its symmetry is R-3m, No. 166.

11.
## PuTcBr (PBE-GGA)

Data for an optimized crystal structure of PuTcBr.

a b c (Å): 4.0922 4.0922 11.5146
angles (deg): 79.76 79.76 60.00
Site moments in Bohr magnetons follow the coordinates.
Element x y z (fractional)
Pu (0.5605, 0.5605, 0.3185)  -5.10
Pu (0.4395, 0.4395, 0.6815)  -5.10
Br (0.2821, 0.2821, 0.1536)  0.06
Br (0.7179, 0.7179, 0.8464)  0.06
Tc (0.8429, 0.8429, 0.4712)  0.33
Tc (0.1571, 0.1571, 0.5288)  0.33

The value obtained for the formation energy from raw total energies is -562 meV per atom. Its symmetry is R-3m, No. 166.

12.
## Pu2TeBr (PBE-GGA)

Data for an optimized crystal structure of Pu2TeBr.

a b c (Å): 3.9830 3.9830 8.7090
angles (deg): 76.78 76.78 60.00
Site moments in Bohr magnetons follow the coordinates.
Element x y z (fractional)
Pu (0.0815, 0.0815, 0.7554)  -5.64
Pu (0.2524, 0.2524, 0.2428)  5.70
Te (0.6675, 0.6675, 0.9975)  0.01
Br (0.4985, 0.4985, 0.5044)  0.01

The value obtained for the formation energy from raw total energies is -884 meV per atom. The energy above the most stable polymorph in this dataset is 58.3 meV per atom. Its symmetry is R3m, No. 160.